w) Ca3Zn4Ag4 after structural relaxation, computed with GGA-PBE.

Results
Volume (Å³ per atom): 21.98

Structure (CIF):
```
data_Ca3Zn4Ag4
_chemical_formula_sum 'Ca3 Zn4 Ag4'
_space_group_name_H-M_alt 'P -1'
_space_group_IT_number 2
_cell_length_a 3.752
_cell_length_b 4.594
_cell_length_c 14.321
_cell_angle_alpha 81.13
_cell_angle_beta 82.48
_cell_angle_gamma 89.86
loop_
_space_group_symop_operation_xyz
'x,y,z'
'-x,-y,-z'
loop_
_atom_site_label
_atom_site_fract_x
_atom_site_fract_y
_atom_site_fract_z
Ca1 0.000 0.000 0.000
Ca2 0.146 0.645 0.709
Zn1 0.259 0.258 0.484
Zn2 0.404 0.905 0.192
Ag1 0.309 0.810 0.379
Ag2 0.450 0.449 0.101
```


x) Ca3Zn4Ag4 after structural relaxation, computed with GGA-PBE.

Results
Volume (Å³ per atom): 23.35

Structure (CIF):
```
data_Ca3Zn4Ag4
_chemical_formula_sum 'Ca6 Zn8 Ag8'
_space_group_name_H-M_alt 'I -4 3 m'
_space_group_IT_number 217
_space_group_name_Hall 'I -4 2 3'
_cell_length_a 8.009
_cell_length_b 8.009
_cell_length_c 8.009
_cell_angle_alpha 90.00
_cell_angle_beta 90.00
_cell_angle_gamma 90.00
loop_
_atom_site_label
_atom_site_fract_x
_atom_site_fract_y
_atom_site_fract_z
Ca1 0.000 0.000 0.500
Zn1 0.192 0.192 0.192
Ag1 0.130 0.130 0.870
```


Tell me which of them is the most stable. Sure, it is w).


w) Ca4ZnAg after structural relaxation, computed with GGA-PBE.

Results
Volume (Å³ per atom): 30.51

Structure (CIF):
```
data_Ca4ZnAg
_chemical_formula_sum 'Ca4 Zn1 Ag1'
_space_group_name_H-M_alt 'P 4/m m m'
_space_group_IT_number 123
_space_group_name_Hall '-P 4 2'
_cell_length_a 3.750
_cell_length_b 3.750
_cell_length_c 13.021
_cell_angle_alpha 90.00
_cell_angle_beta 90.00
_cell_angle_gamma 90.00
loop_
_atom_site_label
_atom_site_fract_x
_atom_site_fract_y
_atom_site_fract_z
Ca1 0.000 0.000 0.137
Ca2 0.500 0.500 0.362
Zn1 0.500 0.500 0.000
Ag1 0.000 0.000 0.500
```


x) Ca4ZnAg after structural relaxation, computed with GGA-PBE.

Results
Volume (Å³ per atom): 33.57

Structure (CIF):
```
data_Ca4ZnAg
_chemical_formula_sum 'Ca4 Zn1 Ag1'
_space_group_name_H-M_alt 'P 4/m m m'
_space_group_IT_number 123
_space_group_name_Hall '-P 4 2'
_cell_length_a 5.238
_cell_length_b 5.238
_cell_length_c 7.343
_cell_angle_alpha 90.00
_cell_angle_beta 90.00
_cell_angle_gamma 90.00
loop_
_atom_site_label
_atom_site_fract_x
_atom_site_fract_y
_atom_site_fract_z
Ca1 0.000 0.500 0.247
Zn1 0.000 0.000 0.000
Ag1 0.500 0.500 0.500
```


Tell me which of them is the most stable. Sure, it is w).


w) CaZn8Ag4 after structural relaxation, computed with GGA-PBE.

Results
Volume (Å³ per atom): 19.49

Structure (CIF):
```
data_CaZn8Ag4
_chemical_formula_sum 'Ca3 Zn24 Ag12'
_space_group_name_H-M_alt 'R -3 m'
_space_group_IT_number 166
_space_group_name_Hall '-R 3 2"'
_cell_length_a 6.4537
_cell_length_b 6.4537
_cell_length_c 21.0783
_cell_angle_alpha 90.00
_cell_angle_beta 90.00
_cell_angle_gamma 120.00
loop_
_atom_site_label
_atom_site_fract_x
_atom_site_fract_y
_atom_site_fract_z
Ca1 0.0000 0.0000 0.0000
Zn1 0.0000 0.0000 0.2385
Zn2 0.0708 0.5354 0.7866
Ag1 0.0000 0.0000 0.5000
Ag2 0.0000 0.5000 0.0000
```


x) CaZn8Ag4 after structural relaxation, computed with GGA-PBE.

Results
Volume (Å³ per atom): 17.68

Structure (CIF):
```
data_CaZn8Ag4
_chemical_formula_sum 'Ca2 Zn16 Ag8'
_space_group_name_H-M_alt 'I 4/m m m'
_space_group_IT_number 139
_space_group_name_Hall '-I 4 2'
_cell_length_a 8.994
_cell_length_b 8.994
_cell_length_c 5.683
_cell_angle_alpha 90.00
_cell_angle_beta 90.00
_cell_angle_gamma 90.00
loop_
_atom_site_label
_atom_site_fract_x
_atom_site_fract_y
_atom_site_fract_z
Ca1 0.000 0.000 0.000
Zn1 0.000 0.214 0.500
Zn2 0.000 0.357 0.000
Ag1 0.250 0.250 0.250
```


Tell me which of them is the most stable. Sure, it is x).


w) Ca2Zn5Ag3 after structural relaxation, computed with GGA-PBE.

Results
Volume (Å³ per atom): 20.49

Structure (CIF):
```
data_Ca2Zn5Ag3
_chemical_formula_sum 'Ca8 Zn20 Ag12'
_space_group_name_H-M_alt 'I b a m'
_space_group_IT_number 72
_space_group_name_Hall '-I 2 2c'
_cell_length_a 11.597
_cell_length_b 11.865
_cell_length_c 5.955
_cell_angle_alpha 90.00
_cell_angle_beta 90.00
_cell_angle_gamma 90.00
loop_
_atom_site_label
_atom_site_fract_x
_atom_site_fract_y
_atom_site_fract_z
Ca1 0.237 0.126 0.000
Zn1 0.000 0.265 0.250
Zn2 0.000 0.500 0.250
Zn3 0.127 0.139 0.500
Ag1 0.000 0.000 0.250
Ag2 0.151 0.384 0.000
```


x) Ca2Zn5Ag3 after structural relaxation, computed with GGA-PBE.

Results
Volume (Å³ per atom): 20.33

Structure (CIF):
```
data_Ca2Zn5Ag3
_chemical_formula_sum 'Ca2 Zn5 Ag3'
_space_group_name_H-M_alt 'P -4 m 2'
_space_group_IT_number 115
_cell_length_a 4.061
_cell_length_b 4.061
_cell_length_c 12.329
_cell_angle_alpha 90.00
_cell_angle_beta 90.00
_cell_angle_gamma 90.00
loop_
_space_group_symop_operation_xyz
'x,y,z'
'y,-x,-z'
'-x,-y,z'
'-y,x,-z'
'-x,y,z'
'-y,-x,-z'
'x,-y,z'
'y,x,-z'
loop_
_atom_site_label
_atom_site_fract_x
_atom_site_fract_y
_atom_site_fract_z
Ca1 0.000 0.500 0.232
Zn1 0.000 0.000 0.000
Zn2 0.000 0.000 0.500
Zn3 0.000 0.500 0.869
Zn4 0.500 0.500 0.000
Ag1 0.000 0.500 0.657
Ag2 0.500 0.500 0.500
```


Tell me which of them is the most stable. Sure, it is w).


w) Ca2Zn5Ag4 after structural relaxation, computed with GGA-PBE.

Results
Volume (Å³ per atom): 21.37

Structure (CIF):
```
data_Ca2Zn5Ag4
_chemical_formula_sum 'Ca4 Zn10 Ag8'
_space_group_name_H-M_alt 'C 1 2/m 1'
_space_group_IT_number 12
_cell_length_a 12.605
_cell_length_b 5.313
_cell_length_c 8.536
_cell_angle_alpha 90.00
_cell_angle_beta 124.67
_cell_angle_gamma 90.00
loop_
_space_group_symop_operation_xyz
'x,y,z'
'-x,-y,-z'
'-x,y,-z'
'x,-y,z'
'x+1/2,y+1/2,z'
'-x+1/2,-y+1/2,-z'
'-x+1/2,y+1/2,-z'
'x+1/2,-y+1/2,z'
loop_
_atom_site_label
_atom_site_fract_x
_atom_site_fract_y
_atom_site_fract_z
Ca1 0.212 0.000 0.264
Zn1 0.000 0.500 0.000
Zn2 0.033 0.252 0.756
Ag1 0.132 0.000 0.555
Ag2 0.231 0.500 0.054
```


x) Ca2Zn5Ag4 after structural relaxation, computed with GGA-PBE.

Results
Volume (Å³ per atom): 20.23

Structure (CIF):
```
data_Ca2Zn5Ag4
_chemical_formula_sum 'Ca8 Zn20 Ag16'
_space_group_name_H-M_alt 'F m m m'
_space_group_IT_number 69
_space_group_name_Hall '-F 2 2'
_cell_length_a 5.452
_cell_length_b 9.257
_cell_length_c 17.639
_cell_angle_alpha 90.00
_cell_angle_beta 90.00
_cell_angle_gamma 90.00
loop_
_atom_site_label
_atom_site_fract_x
_atom_site_fract_y
_atom_site_fract_z
Ca1 0.000 0.000 0.135
Zn1 0.000 0.000 0.500
Zn2 0.250 0.250 0.000
Zn3 0.250 0.250 0.250
Ag1 0.000 0.162 0.372
```


Tell me which of them is the most stable. Sure, it is x).


w) Ca2ZrAg after structural relaxation, computed with GGA-PBE.

Results
Volume (Å³ per atom): 28.06

Structure (CIF):
```
data_Ca2ZrAg
_chemical_formula_sum 'Ca4 Zr2 Ag2'
_space_group_name_H-M_alt 'C 1 m 1'
_space_group_IT_number 8
_cell_length_a 12.889
_cell_length_b 3.495
_cell_length_c 5.512
_cell_angle_alpha 90.00
_cell_angle_beta 115.30
_cell_angle_gamma 90.00
loop_
_space_group_symop_operation_xyz
'x,y,z'
'x,-y,z'
'x+1/2,y+1/2,z'
'x+1/2,-y+1/2,z'
loop_
_atom_site_label
_atom_site_fract_x
_atom_site_fract_y
_atom_site_fract_z
Ca1 0.000 0.000 0.000
Ca2 0.209 0.000 0.708
Zr1 0.286 0.500 0.285
Ag1 0.484 0.000 0.485
```


x) Ca2ZrAg after structural relaxation, computed with GGA-PBE.

Results
Volume (Å³ per atom): 27.61

Structure (CIF):
```
data_Ca2ZrAg
_chemical_formula_sum 'Ca4 Zr2 Ag2'
_space_group_name_H-M_alt 'I -4 m 2'
_space_group_IT_number 119
_space_group_name_Hall 'I -4 -2'
_cell_length_a 4.648
_cell_length_b 4.648
_cell_length_c 10.227
_cell_angle_alpha 90.00
_cell_angle_beta 90.00
_cell_angle_gamma 90.00
loop_
_atom_site_label
_atom_site_fract_x
_atom_site_fract_y
_atom_site_fract_z
Ca1 0.000 0.000 0.000
Ca2 0.000 0.500 0.250
Zr1 0.000 0.500 0.750
Ag1 0.000 0.000 0.500
```


Tell me which of them is the most stable. Sure, it is w).


w) Ca2ZrAg after structural relaxation, computed with GGA-PBE.

Results
Volume (Å³ per atom): 28.95

Structure (CIF):
```
data_Ca2ZrAg
_chemical_formula_sum 'Ca2 Zr1 Ag1'
_space_group_name_H-M_alt 'P 4 m m'
_space_group_IT_number 99
_cell_length_a 3.515
_cell_length_b 3.515
_cell_length_c 9.371
_cell_angle_alpha 90.00
_cell_angle_beta 90.00
_cell_angle_gamma 90.00
loop_
_space_group_symop_operation_xyz
'x,y,z'
'-y,x,z'
'-x,-y,z'
'y,-x,z'
'-x,y,z'
'y,x,z'
'x,-y,z'
'-y,-x,z'
loop_
_atom_site_label
_atom_site_fract_x
_atom_site_fract_y
_atom_site_fract_z
Ca1 0.000 0.000 0.000
Ca2 0.500 0.500 0.345
Zr1 0.000 0.000 0.611
Ag1 0.500 0.500 0.781
```


x) Ca2ZrAg after structural relaxation, computed with GGA-PBE.

Results
Volume (Å³ per atom): 27.18

Structure (CIF):
```
data_Ca2ZrAg
_chemical_formula_sum 'Ca4 Zr2 Ag2'
_space_group_name_H-M_alt 'C m m m'
_space_group_IT_number 65
_space_group_name_Hall '-C 2 2'
_cell_length_a 6.794
_cell_length_b 9.450
_cell_length_c 3.387
_cell_angle_alpha 90.00
_cell_angle_beta 90.00
_cell_angle_gamma 90.00
loop_
_atom_site_label
_atom_site_fract_x
_atom_site_fract_y
_atom_site_fract_z
Ca1 0.250 0.250 0.000
Zr1 0.000 0.000 0.500
Ag1 0.000 0.500 0.500
```


Tell me which of them is the most stable. Sure, it is w).


w) Ca2ZrAg after structural relaxation, computed with GGA-PBE.

Results
Volume (Å³ per atom): 26.51

Structure (CIF):
```
data_Ca2ZrAg
_chemical_formula_sum 'Ca2 Zr1 Ag1'
_space_group_name_H-M_alt 'P m m m'
_space_group_IT_number 47
_cell_length_a 3.909
_cell_length_b 5.191
_cell_length_c 5.226
_cell_angle_alpha 90.00
_cell_angle_beta 90.00
_cell_angle_gamma 90.00
loop_
_space_group_symop_operation_xyz
'x,y,z'
'-x,-y,-z'
'-x,-y,z'
'x,y,-z'
'x,-y,-z'
'-x,y,z'
'-x,y,-z'
'x,-y,z'
loop_
_atom_site_label
_atom_site_fract_x
_atom_site_fract_y
_atom_site_fract_z
Ca1 0.000 0.000 0.000
Ca2 0.500 0.000 0.500
Zr1 0.000 0.500 0.500
Ag1 0.500 0.500 0.000
```


x) Ca2ZrAg after structural relaxation, computed with GGA-PBE.

Results
Volume (Å³ per atom): 27.53

Structure (CIF):
```
data_Ca2ZrAg
_chemical_formula_sum 'Ca4 Zr2 Ag2'
_space_group_name_H-M_alt 'I 4/m m m'
_space_group_IT_number 139
_space_group_name_Hall '-I 4 2'
_cell_length_a 4.784
_cell_length_b 4.784
_cell_length_c 9.621
_cell_angle_alpha 90.00
_cell_angle_beta 90.00
_cell_angle_gamma 90.00
loop_
_atom_site_label
_atom_site_fract_x
_atom_site_fract_y
_atom_site_fract_z
Ca1 0.000 0.500 0.250
Zr1 0.000 0.000 0.000
Ag1 0.000 0.000 0.500
```


Tell me which of them is the most stable. Sure, it is w).


w) Ca2ZrAg after structural relaxation, computed with GGA-PBE.

Results
Volume (Å³ per atom): 28.31

Structure (CIF):
```
data_Ca2ZrAg
_chemical_formula_sum 'Ca2 Zr1 Ag1'
_space_group_name_H-M_alt 'P 1 m 1'
_space_group_IT_number 6
_cell_length_a 3.623
_cell_length_b 5.015
_cell_length_c 6.489
_cell_angle_alpha 90.00
_cell_angle_beta 106.17
_cell_angle_gamma 90.00
loop_
_space_group_symop_operation_xyz
'x,y,z'
'x,-y,z'
loop_
_atom_site_label
_atom_site_fract_x
_atom_site_fract_y
_atom_site_fract_z
Ca1 0.000 0.000 0.000
Ca2 0.328 0.500 0.660
Zr1 0.611 0.500 0.220
Ag1 0.721 0.000 0.451
```


x) Ca2ZrAg after structural relaxation, computed with GGA-PBE.

Results
Volume (Å³ per atom): 27.34

Structure (CIF):
```
data_Ca2ZrAg
_chemical_formula_sum 'Ca2 Zr1 Ag1'
_space_group_name_H-M_alt 'P 4/m m m'
_space_group_IT_number 123
_space_group_name_Hall '-P 4 2'
_cell_length_a 4.843
_cell_length_b 4.843
_cell_length_c 4.662
_cell_angle_alpha 90.00
_cell_angle_beta 90.00
_cell_angle_gamma 90.00
loop_
_atom_site_label
_atom_site_fract_x
_atom_site_fract_y
_atom_site_fract_z
Ca1 0.000 0.500 0.000
Zr1 0.000 0.000 0.500
Ag1 0.500 0.500 0.500
```


Tell me which of them is the most stable. Sure, it is w).


w) Ca2ZrAg after structural relaxation, computed with GGA-PBE.

Results
Volume (Å³ per atom): 27.35

Structure (CIF):
```
data_Ca2ZrAg
_chemical_formula_sum 'Ca4 Zr2 Ag2'
_space_group_name_H-M_alt 'I m m m'
_space_group_IT_number 71
_space_group_name_Hall '-I 2 2'
_cell_length_a 3.615
_cell_length_b 5.428
_cell_length_c 11.148
_cell_angle_alpha 90.00
_cell_angle_beta 90.00
_cell_angle_gamma 90.00
loop_
_atom_site_label
_atom_site_fract_x
_atom_site_fract_y
_atom_site_fract_z
Ca1 0.000 0.000 0.214
Zr1 0.000 0.500 0.000
Ag1 0.000 0.500 0.500
```


x) Ca2ZrAg after structural relaxation, computed with GGA-PBE.

Results
Volume (Å³ per atom): 26.54

Structure (CIF):
```
data_Ca2ZrAg
_chemical_formula_sum 'Ca8 Zr4 Ag4'
_space_group_name_H-M_alt 'F -4 3 m'
_space_group_IT_number 216
_space_group_name_Hall 'F -4 2 3'
_cell_length_a 7.516
_cell_length_b 7.516
_cell_length_c 7.516
_cell_angle_alpha 90.00
_cell_angle_beta 90.00
_cell_angle_gamma 90.00
loop_
_atom_site_label
_atom_site_fract_x
_atom_site_fract_y
_atom_site_fract_z
Ca1 0.000 0.000 0.000
Ca2 0.250 0.250 0.250
Zr1 0.250 0.250 0.750
Ag1 0.000 0.000 0.500
```


Tell me which of them is the most stable. Sure, it is w).


w) Ca2ZrAg after structural relaxation, computed with GGA-PBE.

Results
Volume (Å³ per atom): 27.91

Structure (CIF):
```
data_Ca2ZrAg
_chemical_formula_sum 'Ca8 Zr4 Ag4'
_space_group_name_H-M_alt 'F m -3 m'
_space_group_IT_number 225
_space_group_name_Hall '-F 4 2 3'
_cell_length_a 7.643
_cell_length_b 7.643
_cell_length_c 7.643
_cell_angle_alpha 90.00
_cell_angle_beta 90.00
_cell_angle_gamma 90.00
loop_
_atom_site_label
_atom_site_fract_x
_atom_site_fract_y
_atom_site_fract_z
Ca1 0.250 0.250 0.250
Zr1 0.000 0.000 0.000
Ag1 0.000 0.000 0.500
```


x) Ca2ZrAg after structural relaxation, computed with GGA-PBE.

Results
Volume (Å³ per atom): 27.11

Structure (CIF):
```
data_Ca2ZrAg
_chemical_formula_sum 'Ca2 Zr1 Ag1'
_space_group_name_H-M_alt 'P 4/m m m'
_space_group_IT_number 123
_space_group_name_Hall '-P 4 2'
_cell_length_a 3.385
_cell_length_b 3.385
_cell_length_c 9.462
_cell_angle_alpha 90.00
_cell_angle_beta 90.00
_cell_angle_gamma 90.00
loop_
_atom_site_label
_atom_site_fract_x
_atom_site_fract_y
_atom_site_fract_z
Ca1 0.000 0.000 0.228
Zr1 0.500 0.500 0.500
Ag1 0.500 0.500 0.000
```


Tell me which of them is the most stable. Sure, it is x).


w) Ca2ZrAg after structural relaxation, computed with GGA-PBE.

Results
Volume (Å³ per atom): 29.00

Structure (CIF):
```
data_Ca2ZrAg
_chemical_formula_sum 'Ca8 Zr4 Ag4'
_space_group_name_H-M_alt 'I -4 2 d'
_space_group_IT_number 122
_space_group_name_Hall 'I -4 2bw'
_cell_length_a 8.554
_cell_length_b 8.554
_cell_length_c 6.342
_cell_angle_alpha 90.00
_cell_angle_beta 90.00
_cell_angle_gamma 90.00
loop_
_atom_site_label
_atom_site_fract_x
_atom_site_fract_y
_atom_site_fract_z
Ca1 0.206 0.250 0.125
Zr1 0.000 0.000 0.500
Ag1 0.000 0.000 0.000
```


x) Ca2ZrAg after structural relaxation, computed with GGA-PBE.

Results
Volume (Å³ per atom): 27.77

Structure (CIF):
```
data_Ca2ZrAg
_chemical_formula_sum 'Ca6 Zr3 Ag3'
_space_group_name_H-M_alt 'R -3 m'
_space_group_IT_number 166
_space_group_name_Hall '-R 3 2"'
_cell_length_a 3.5174
_cell_length_b 3.5174
_cell_length_c 31.1043
_cell_angle_alpha 90.00
_cell_angle_beta 90.00
_cell_angle_gamma 120.00
loop_
_atom_site_label
_atom_site_fract_x
_atom_site_fract_y
_atom_site_fract_z
Ca1 0.0000 0.0000 0.2438
Zr1 0.0000 0.0000 0.0000
Ag1 0.0000 0.0000 0.5000
```


Tell me which of them is the most stable. Sure, it is x).